Li3ScBi | Alexandria via LeMat-Bulk | PBE-GGA | optimized geometry; formation energy from the elements = 1.1 eV per formula unit; space group = No. 221; crystal system = cubic
1.0
5.1069 0.0000 0.0000
0.0000 5.1069 0.0000
0.0000 0.0000 5.1069
Sc Bi Li
1 1 3
Cartesian
2.5535 2.5535 2.5535
0.0000 0.0000 0.0000
0.0000 2.5535 0.0000
0.0000 0.0000 2.5535
2.5535 0.0000 0.0000

Li7ScBi4 | Alexandria via LeMat-Bulk | PBE-GGA | optimized geometry; formation energy from the elements = -2.9 eV per formula unit; space group = No. 12; crystal system = monoclinic
1.0
-0.6170 0.7019 -4.9744
6.4146 -4.6378 -4.0251
-4.2443 -4.6445 -2.7039
Li Sc Bi
7 1 4
Cartesian
3.0555 -6.1028 -8.9651
-1.5023 -2.4775 -2.7382
3.2046 -3.8488 -3.5156
-1.6514 -4.7315 -8.1878
0.2305 -5.7663 -5.9923
-0.3085 0.3510 -2.4872
1.3227 -2.8140 -5.7111
0.0000 0.0000 0.0000
-1.5802 -3.5063 -5.4487
3.1334 -5.0740 -6.2546
0.3395 -6.8387 -8.7321
1.2137 -1.7416 -2.9713

LiSc2Bi2 | Alexandria via LeMat-Bulk | PBE-GGA | optimized geometry; formation energy from the elements = -2.4 eV per formula unit; space group = No. 127; crystal system = tetragonal
1.0
7.9788 0.0000 0.0000
0.0000 7.9788 0.0000
0.0000 0.0000 3.9942
Sc Bi Li
4 4 2
Cartesian
1.1669 5.1563 1.9971
5.1563 6.8119 1.9971
6.8119 2.8225 1.9971
2.8225 1.1669 1.9971
2.7242 6.7136 0.0000
6.7136 5.2546 0.0000
5.2546 1.2652 0.0000
1.2652 2.7242 0.0000
0.0000 0.0000 0.0000
3.9894 3.9894 0.0000

LiSc5Bi6 | Alexandria via LeMat-Bulk | PBE-GGA | optimized geometry; formation energy from the elements = -6.6 eV per formula unit; space group = No. 12; crystal system = monoclinic
1.0
-6.1073 2.7750 3.0942
-5.9403 -2.6139 -3.4733
-3.1649 -6.2798 2.3388
Sc Bi Li
5 6 1
Cartesian
-6.1547 -3.2629 2.5505
-3.0357 -2.9800 -0.3656
-6.0238 0.0805 -0.1896
-6.0695 -5.9138 -0.7690
-9.0577 -2.8559 -0.5909
-6.1325 -0.2358 2.8049
-6.0449 -2.9198 -0.4659
-3.0121 0.0303 -0.1070
-9.0354 0.1308 -0.2722
-9.1675 -3.1990 2.4255
-9.0799 -5.8829 -0.8453
0.0000 0.0000 0.0000

Li3ScBi2Se6 | Alexandria via LeMat-Bulk | PBE-GGA | optimized geometry; E_form (uncorrected) = -12.1 eV/f.u.; space group = No. 12; crystal system = monoclinic
1.0
7.0547 -0.0088 -0.0057
-3.5333 6.1062 -0.0057
-1.1806 -2.0442 6.5255
Li Sc Bi Se
3 1 2 6
Cartesian
-2.2291 3.9899 3.2570
4.5699 0.0632 3.2570
1.1704 2.0266 3.2570
0.0000 0.0000 0.0000
0.0137 4.0576 -0.0057
3.5077 2.0397 -0.0057
3.4492 2.1391 4.8486
2.4187 4.1879 1.6500
-1.1083 1.9140 1.6654
0.1291 4.0566 4.8486
-0.0779 -0.1348 4.8641
2.2118 -0.0035 1.6654

LiSc2SiBi | Alexandria via LeMat-Bulk | PBE-GGA | optimized geometry; E_form (uncorrected) = 0.5 eV/f.u.; space group = No. 123; crystal system = tetragonal
1.0
4.9465 0.0000 0.0000
0.0000 4.3191 0.0000
0.0000 0.0000 4.9465
Sc Si Bi Li
2 1 1 1
Cartesian
0.0000 0.0000 2.4732
2.4732 0.0000 0.0000
0.0000 2.1596 0.0000
2.4732 2.1596 2.4732
0.0000 0.0000 0.0000

LiScSnBi | Alexandria via LeMat-Bulk | PBE-GGA | optimized geometry; formation energy from the elements = -1.3 eV per formula unit; space group = No. 216; crystal system = cubic
1.0
5.1402 0.0000 0.0000
2.5701 4.4516 0.0000
2.5701 1.4839 4.1970
Sc Li Bi Sn
1 1 1 1
Cartesian
7.7104 4.4516 3.1477
2.5701 1.4839 1.0492
0.0000 0.0000 0.0000
5.1402 2.9677 2.0985

Sr2Li3ScBi4 | Alexandria via LeMat-Bulk | PBE-GGA | optimized geometry; formation energy from the elements = -6.5 eV per formula unit; space group = No. 115; crystal system = tetragonal
1.0
-2.0388 3.9607 -2.0617
-4.4280 -2.0854 0.3725
-1.3833 4.8436 10.6728
Sr Li Sc Bi
2 3 1 4
Cartesian
-1.3344 3.0835 1.3998
-3.2822 2.6978 8.4284
-0.6916 2.4218 5.3364
-2.2307 6.2216 8.3148
-2.3860 -0.4404 1.5134
-3.9250 3.3594 4.4918
-3.2334 0.9377 -0.8446
0.0000 0.0000 0.0000
-1.9066 5.0871 5.8148
-2.7100 0.6941 4.0134

LiSc2TcBi | Alexandria via LeMat-Bulk | PBE-GGA | optimized geometry; formation energy from the elements = 1.0 eV per formula unit; space group = No. 123; crystal system = tetragonal
1.0
4.9293 0.0000 0.0000
0.0000 4.8144 0.0000
0.0000 0.0000 4.9293
Sc Li Bi Tc
2 1 1 1
Cartesian
0.0000 0.0000 2.4646
2.4646 0.0000 0.0000
0.0000 2.4072 0.0000
2.4646 2.4072 2.4646
0.0000 0.0000 0.0000

LiScTcBi2 | Alexandria via LeMat-Bulk | PBE-GGA | optimized geometry; formation energy from the elements = 1.2 eV per formula unit; space group = No. 123; crystal system = tetragonal
1.0
-1.2237 4.6221 2.4978
0.0044 -2.3312 4.3159
5.2539 1.0789 0.5774
Sc Li Bi Tc
1 1 2 1
Cartesian
0.0022 -1.1656 2.1579
2.0173 1.6849 3.6956
2.6269 0.5394 0.2887
-0.6118 2.3111 1.2489
0.0000 0.0000 0.0000

LiScZnBi | Alexandria via LeMat-Bulk | PBE-GGA | optimized geometry; formation energy from the elements = -1.1 eV per formula unit; space group = No. 216; crystal system = cubic
1.0
4.9366 0.0000 0.0000
2.4683 4.2752 0.0000
2.4683 1.4251 4.0307
Sc Zn Bi Li
1 1 1 1
Cartesian
7.4048 4.2752 3.0230
0.0000 0.0000 0.0000
4.9366 2.8501 2.0153
2.4683 1.4251 1.0077

LiScZn2Bi | Alexandria via LeMat-Bulk | PBE-GGA | optimized geometry; formation energy from the elements = 1.5 eV per formula unit; space group = No. 123; crystal system = tetragonal
1.0
5.3397 0.0000 0.0000
0.0000 5.5365 0.0000
0.0000 0.0000 5.3397
Sc Zn Bi Li
1 2 1 1
Cartesian
0.0000 0.0000 0.0000
0.0000 0.0000 2.6698
2.6698 0.0000 0.0000
0.0000 2.7682 0.0000
2.6698 2.7682 2.6698

Mass density: 3.4; 5.6; 6.7; 7.5; 5.7; 5.2; 6.6; 6.3; 5.7; 6.6; 6.4; 4.1 (g/cm³)